First-principles (PBE) data for an optimized crystal structure of NpCoP2Rh, as listed in the Alexandria database.

Output
energy relative to the elements: -0.743 eV/atom

Cell and atoms, written as extended XYZ:
```
5
Lattice="3.8251 0.0000 0.0000 0.0000 3.8251 0.0000 -1.9126 -1.9126 5.0228" Properties=species:S:1:pos:R:3 pbc="T T T"
Np 0.0000 0.0000 0.0000
Co 1.9126 0.0000 2.5114
P 1.9126 1.9126 1.1535
P 0.0000 0.0000 3.8693
Rh 0.0000 1.9126 2.5114
```

First-principles (PBE) data for an optimized crystal structure of NpCoPS, as listed in the Alexandria database.

Output
formation energy from raw total energies: -0.80 eV/atom

Cell and atoms, written as extended XYZ:
```
8
Lattice="3.8192 0.0000 0.0000 0.0000 3.8192 0.0000 0.0000 0.0000 8.8245" Properties=species:S:1:pos:R:3 pbc="T T T"
Np 1.9096 0.0000 6.3915
Np 0.0000 1.9096 2.4330
Co 1.9096 1.9096 0.0000
Co 0.0000 0.0000 0.0000
P 0.0000 1.9096 7.5945
P 1.9096 0.0000 1.2301
S 0.0000 0.0000 4.4123
S 1.9096 1.9096 4.4123
```

First-principles (PBE) data for an optimized crystal structure of NpCo4SiP2, as listed in the Alexandria database.

Output
formation energy from raw total energies: -0.61 eV/atom

Cell and atoms, written as extended XYZ:
```
8
Lattice="3.7580 0.0000 0.0000 0.0000 3.7580 0.0000 0.0000 0.0000 7.5011" Properties=species:S:1:pos:R:3 pbc="T T T"
Np 0.0000 0.0000 3.7506
Co 0.0000 1.8790 1.3295
Co 1.8790 0.0000 6.1716
Co 1.8790 0.0000 1.3295
Co 0.0000 1.8790 6.1716
Si 0.0000 0.0000 0.0000
P 1.8790 1.8790 2.4652
P 1.8790 1.8790 5.0360
```

First-principles (PBE) data for an optimized crystal structure of Np2Co4SiP3, as listed in the Alexandria database.

Output
formation energy from raw total energies: -0.71 eV/atom

Cell and atoms, written as extended XYZ:
```
10
Lattice="-0.4344 0.6973 3.7867 -0.6050 -3.7758 0.6259 9.0760 -1.2437 1.2703" Properties=species:S:1:pos:R:3 pbc="T T T"
Np 2.0508 0.0379 2.2108
Np 6.5055 -2.8208 1.2658
Co -0.5197 -1.5392 2.2063
Co 0.0000 0.0000 0.0000
Co 5.4525 -0.4283 2.6869
Co 3.1037 -2.3547 0.7897
Si 4.0183 -2.1611 2.8415
P 4.5380 -0.6219 0.6351
P 7.6539 -0.7299 2.9950
P 0.9023 -2.0530 0.4816
```

First-principles (PBE) data for an optimized crystal structure of NpCoTc2P2, as listed in the Alexandria database.

Output
energy relative to the elements: -0.484 eV/atom

Cell and atoms, written as extended XYZ:
```
12
Lattice="-1.8720 -0.0375 -3.4349 -1.7896 -5.4699 1.0350 -6.3886 2.7433 3.4518" Properties=species:S:1:pos:R:3 pbc="T T T"
Np -4.5889 -4.0969 2.5456
Np -4.3860 -1.0649 2.4020
Co -5.8463 1.1497 0.9459
Co -3.8485 -2.8273 -0.0995
Tc -1.4290 0.0766 -1.4498
Tc -1.7033 -1.5737 0.9454
Tc -7.7932 -0.3098 2.0228
Tc -6.9026 -2.4602 3.7887
P -6.0592 0.9677 3.2917
P -3.4524 -0.6362 -0.3393
P -2.1618 -3.8251 1.2199
P -6.6773 -2.3706 1.4372
```

First-principles (PBE) data for an optimized crystal structure of Np2ZnCo3P4, as listed in the Alexandria database.

Output
energy relative to the elements: -0.628 eV/atom

Cell and atoms, written as extended XYZ:
```
10
Lattice="3.9749 0.0000 0.0000 0.0000 3.9749 0.0000 0.0000 0.0000 9.1852" Properties=species:S:1:pos:R:3 pbc="T T T"
Np 1.9875 0.0000 2.2025
Np 0.0000 1.9875 6.9827
Zn 1.9875 1.9875 4.5926
Co 0.0000 0.0000 4.5926
Co 1.9875 0.0000 8.1939
Co 0.0000 1.9875 0.9912
P 1.9875 1.9875 0.0000
P 0.0000 0.0000 0.0000
P 1.9875 0.0000 5.9634
P 0.0000 1.9875 3.2218
```

First-principles (PBE) data for an optimized crystal structure of NpPaCo2, as listed in the Alexandria database.

Output
energy relative to the elements: 0.009 eV/atom

Cell and atoms, written as extended XYZ:
```
4
Lattice="3.8149 0.0000 0.0000 1.9075 3.3038 0.0000 1.9075 1.1013 5.9621" Properties=species:S:1:pos:R:3 pbc="T T T"
Np 0.0000 0.0000 0.0000
Pa 3.8149 2.2026 2.9811
Co 5.7224 3.3038 4.5334
Co 1.9075 1.1013 1.4287
```

First-principles (PBE) data for an optimized crystal structure of NpPaCo10, as listed in the Alexandria database.

Output
energy relative to the elements: -0.100 eV/atom

Cell and atoms, written as extended XYZ:
```
12
Lattice="-1.6184 2.7672 -2.4128 -2.9038 -3.3334 -1.8753 -5.7410 1.7230 5.8268" Properties=species:S:1:pos:R:3 pbc="T T T"
Np -4.3224 -0.8052 1.9757
Pa 0.0000 0.0000 0.0000
Co -1.8635 0.5593 1.8914
Co -6.2571 -0.2245 3.9393
Co -2.3877 -1.3858 0.0121
Co -3.8775 1.1637 3.9354
Co -3.6797 2.2451 1.7070
Co -2.2611 -0.2831 -2.1441
Co -3.0075 0.9724 -0.2036
Co -7.2556 0.1846 1.7422
Co -4.4320 -0.6629 -1.1236
Co -5.8311 1.8198 2.6622
```

First-principles (PBE) data for an optimized crystal structure of NpPaCo4, as listed in the Alexandria database.

Output
energy relative to the elements: -0.226 eV/atom

Cell and atoms, written as extended XYZ:
```
6
Lattice="4.9374 0.0000 0.0000 2.4687 4.2759 0.0000 2.4687 1.4253 4.0313" Properties=species:S:1:pos:R:3 pbc="T T T"
Np 0.0000 0.0000 0.0000
Pa 2.4687 1.4253 1.0078
Co 4.9374 2.8506 0.4929
Co 4.9374 1.4149 2.5233
Co 6.1807 3.5684 2.5233
Co 3.6940 3.5684 2.5233
```

First-principles (PBE) data for an optimized crystal structure of NpPa2Co9, as listed in the Alexandria database.

Output
energy relative to the elements: -0.195 eV/atom

Cell and atoms, written as extended XYZ:
```
12
Lattice="-3.5484 -1.6745 -2.8564 -4.2385 -1.3555 1.9370 -5.4401 6.5778 -1.2209" Properties=species:S:1:pos:R:3 pbc="T T T"
Np 0.0000 0.0000 0.0000
Pa -8.9552 0.0863 -1.2950
Pa -4.2719 3.4615 -0.8454
Co -5.1947 -2.0109 -0.6140
Co -8.0324 5.5588 -1.5263
Co -6.6135 1.7739 -1.0702
Co -4.5926 0.3497 -0.6844
Co -6.3667 -0.4875 -2.1125
Co -6.7117 -0.3280 0.2840
Co -8.6345 3.1982 -1.4559
Co -6.5154 3.8759 -2.4243
Co -6.8604 4.0353 -0.0278
```

First-principles (PBE) data for an optimized crystal structure of NpPaCo, as listed in the Alexandria database.

Output
energy relative to the elements: -0.123 eV/atom

Cell and atoms, written as extended XYZ:
```
6
Lattice="-0.6361 3.2156 0.6566 -5.7269 -1.1518 0.8632 -2.0111 0.3124 6.2551" Properties=species:S:1:pos:R:3 pbc="T T T"
Pa -2.5924 0.8025 3.0646
Pa -5.7817 1.5737 4.7103
Np -2.3165 2.6211 1.1032
Np -6.0576 -0.2449 6.6717
Co -2.8711 2.0317 5.3907
Co -5.5030 0.3445 2.3842
```

First-principles (PBE) data for an optimized crystal structure of NpPaCoPt, as listed in the Alexandria database.

Output
energy relative to the elements: -0.473 eV/atom

Cell and atoms, written as extended XYZ:
```
4
Lattice="-1.2574 0.2865 -4.4378 -4.2265 -1.3472 -1.2957 -3.1233 3.1405 -1.3185" Properties=species:S:1:pos:R:3 pbc="T T T"
Np -4.3036 1.0400 -3.5260
Pa -6.4554 1.5599 -5.2890
Co 0.0000 0.0000 0.0000
Pt -2.1518 0.5200 -1.7630
```

no.,N(E_F) (states/eV/f.u.)
1,9.0
2,9.3
3,9.7
4,18.5
5,8.5
6,20.9
7,10.0
8,20.5
9,8.5
10,21.4
11,5.4
12,5.9